[1]
Here is a geometry-optimized BeRe structure from Alexandria. Energies are from PBE.

The structure belongs to space group C2/m (No. 12); the cell edges are 8.937, 2.901 and 5.952 Å and the angles 90.00°, 111.77° and 90.00°. The asymmetric unit holds Be at (0.000, 0.000, 0.000), Be at (0.161, 0.500, 0.862), Re at (0.000, 0.000, 0.500) and Re at (0.169, 0.500, 0.306).

As for the crystal system: monoclinic. The theoretical density comes out at 13.6 g cm⁻³. The value obtained for the electronic total energy is -8.058 eV per atom. The value obtained for the energy relative to the lowest polymorph listed for this composition is 209.5 meV per atom. The calculation puts the energy of formation at 0.06 eV/f.u.

---

[2]
Here is a geometry-optimized Be2Re structure from Alexandria. Energies are from PBE.

The structure belongs to space group C2/m (No. 12); the cell edges are 8.748, 2.581 and 6.056 Å and the angles 90.00°, 110.55° and 90.00°. The asymmetric unit holds Be at (0.032, 0.000, 0.235), Be at (0.156, 0.500, 0.031) and Re at (0.162, 0.500, 0.625).

As for the crystal system: monoclinic. The theoretical density comes out at 10.6 g cm⁻³. The value obtained for the electronic total energy is -6.619 eV per atom. The value obtained for the energy relative to the lowest polymorph listed for this composition is 399.3 meV per atom. The calculation puts the energy of formation at 0.04 eV/f.u.

---

[3]
Here is a geometry-optimized BeRe structure from Alexandria. Energies are from PBE.

The structure belongs to space group Fd-3m (No. 227, origin choice 2); the cell edges are 5.822, 5.822 and 5.822 Å and the angles 90.00°, 90.00° and 90.00°. The asymmetric unit holds Be at (0.125, 0.125, 0.125) and Re at (0.125, 0.125, 0.625).

As for the crystal system: cubic. The theoretical density comes out at 13.1 g cm⁻³. The value obtained for the electronic total energy is -8.110 eV per atom. The value obtained for the energy relative to the lowest polymorph listed for this composition is 157.0 meV per atom. The calculation puts the energy of formation at -0.05 eV/f.u.

---

[4]
Here is a geometry-optimized Be6Re structure from Alexandria. Energies are from PBE.

The structure belongs to space group Pnma (No. 62); the cell edges are 6.784, 4.259 and 8.410 Å and the angles 90.00°, 90.00° and 90.00°. The asymmetric unit holds Be at (0.056, 0.250, 0.091), Be at (0.061, 0.509, 0.311), Be at (0.100, 0.750, 0.522), Be at (0.145, 0.250, 0.856), Be at (0.198, 0.750, 0.752) and Re at (0.250, 0.250, 0.572).

As for the crystal system: orthorhombic. The theoretical density comes out at 6.6 g cm⁻³. The value obtained for the electronic total energy is -5.115 eV per atom. The value obtained for the energy relative to the lowest polymorph listed for this composition is 0.0 meV per atom. The calculation puts the energy of formation at -1.00 eV/f.u.

---

[5]
Here is a geometry-optimized BeRe structure from Alexandria. Energies are from PBE.

The structure belongs to space group P-6m2 (No. 187); the cell edges are 2.6914, 2.6914 and 3.9688 Å and the angles 90.00°, 90.00° and 120.00°. The asymmetric unit holds Be at (0.0000, 0.0000, 0.0000) and Re at (0.3333, 0.6667, 0.5000).

As for the crystal system: hexagonal. The theoretical density comes out at 13.0 g cm⁻³. The value obtained for the electronic total energy is -7.941 eV per atom. The value obtained for the energy relative to the lowest polymorph listed for this composition is 326.4 meV per atom. The calculation puts the energy of formation at 0.29 eV/f.u.

---

[6]
Here is a geometry-optimized Be3Re structure from Alexandria. Energies are from PBE.

The structure belongs to space group Pmmm (No. 47); the cell edges are 2.521, 3.038 and 5.260 Å and the angles 90.00°, 90.00° and 90.00°. The asymmetric unit holds Be at (0.000, 0.000, 0.000), Be at (0.500, 0.500, 0.219) and Re at (0.000, 0.000, 0.500).

As for the crystal system: orthorhombic. The theoretical density comes out at 8.8 g cm⁻³. The value obtained for the electronic total energy is -5.841 eV per atom. The calculation puts the energy of formation at 0.26 eV/f.u.